Record 1
Crystalline YCdRe2 at its relaxed geometry, computed with PBE. Values from VASP.

Cell and atoms, written as Quantum ESPRESSO input:
```
&SYSTEM
  ibrav = 0, nat = 12, ntyp = 3
/
ATOMIC_SPECIES
Y 88.91 Y.upf
Cd 112.41 Cd.upf
Re 186.21 Re.upf
CELL_PARAMETERS angstrom
2.8883 0.0000 0.0000
-1.4442 2.5013 0.0000
0.0000 0.0000 30.6760
ATOMIC_POSITIONS crystal
Y 0.0000 0.0000 0.0000
Y 0.3333 0.6667 0.6667
Y 0.6667 0.3333 0.3333
Cd 0.0000 0.0000 0.5000
Cd 0.3333 0.6667 0.1667
Cd 0.6667 0.3333 0.8333
Re 0.0000 0.0000 0.2464
Re 0.0000 0.0000 0.7536
Re 0.3333 0.6667 0.4202
Re 0.3333 0.6667 0.9131
Re 0.6667 0.3333 0.0869
Re 0.6667 0.3333 0.5798
```

Size of the total moment   0.00 μB per formula unit
E   -7.306 eV per atom
DOS(E_F)   1.257 states/eV/atom
Energy of formation   0.76 eV/atom

Record 2
Crystalline Y2CdRe at its relaxed geometry, computed with PBE. Values from VASP.

Cell and atoms, written as Quantum ESPRESSO input:
```
&SYSTEM
  ibrav = 0, nat = 4, ntyp = 3
/
ATOMIC_SPECIES
Y 88.91 Y.upf
Cd 112.41 Cd.upf
Re 186.21 Re.upf
CELL_PARAMETERS angstrom
3.6809 0.0000 0.0000
0.0000 4.9796 0.0000
0.0000 0.0000 4.9779
ATOMIC_POSITIONS crystal
Y 0.0000 0.0000 0.0000
Y 0.0000 0.5000 0.5003
Cd 0.5000 0.0000 0.4998
Re 0.5000 0.5000 0.0009
```

Size of the total moment   0.00 μB per formula unit
E   -6.477 eV per atom
DOS(E_F)   1.300 states/eV/atom
Energy of formation   0.10 eV/atom

Record 3
Crystalline YCdRe at its relaxed geometry, computed with PBE. Values from VASP.

Cell and atoms, written as Quantum ESPRESSO input:
```
&SYSTEM
  ibrav = 0, nat = 12, ntyp = 3
/
ATOMIC_SPECIES
Y 88.91 Y.upf
Cd 112.41 Cd.upf
Re 186.21 Re.upf
CELL_PARAMETERS angstrom
6.7280 0.0000 0.0000
0.0000 6.7280 0.0000
0.0000 0.0000 6.7280
ATOMIC_POSITIONS crystal
Y 0.0000 0.0000 0.0000
Y 0.0000 0.5000 0.5000
Y 0.5000 0.0000 0.5000
Y 0.5000 0.5000 0.0000
Cd 0.0000 0.0000 0.5000
Cd 0.0000 0.5000 0.0000
Cd 0.5000 0.0000 0.0000
Cd 0.5000 0.5000 0.5000
Re 0.2500 0.2500 0.7500
Re 0.2500 0.7500 0.2500
Re 0.7500 0.2500 0.2500
Re 0.7500 0.7500 0.7500
```

Size of the total moment   1.76 μB per formula unit
E   -5.766 eV per atom
DOS(E_F)   1.741 states/eV/atom
Energy of formation   0.84 eV/atom